## TmFe2O4 (GGA+U)

Data for a relaxed TmFe2O4 crystal.

Calculated values
raw total energy: -50.65 eV per cell
calculated volume: 12.60 Å³/atom
space group: R-3m, No. 166
excess energy over the best structure of this formula in the dataset: 0 meV per atom

The structure in CIF format:
```
data_TmFe2O4
_chemical_formula_sum 'Tm1 Fe2 O4'
_space_group_name_H-M_alt 'P 1'
_space_group_IT_number 1
_space_group_name_Hall 'P 1'
_cell_length_a 8.6602
_cell_length_b 8.6602
_cell_length_c 8.6602
_cell_angle_alpha 23.16
_cell_angle_beta 23.16
_cell_angle_gamma 23.16
loop_
_atom_site_label
_atom_site_type_symbol
_atom_site_fract_x
_atom_site_fract_y
_atom_site_fract_z
_atom_site_occupancy
Tm1 Tm 0.0000 0.0000 0.0000 1
Fe1 Fe 0.2136 0.2136 0.2136 1
Fe2 Fe 0.7864 0.7864 0.7864 1
O1 O 0.1282 0.1282 0.1282 1
O2 O 0.2924 0.2924 0.2924 1
O3 O 0.7076 0.7076 0.7076 1
O4 O 0.8718 0.8718 0.8718 1
```